Entry 1:
# ZnHPt2, optimized geometry, DFT PBE
data_ZnHPt2
_chemical_formula_sum 'Zn3 H3 Pt6'
_symmetry_space_group_name_H-M 'R -3 m'
_symmetry_Int_Tables_number 166
_symmetry_space_group_name_Hall '-R 3 2"'
_cell_length_a 2.8973
_cell_length_b 2.8973
_cell_length_c 19.9384
_cell_angle_alpha 90.00
_cell_angle_beta 90.00
_cell_angle_gamma 120.00
loop_
_atom_site_label
_atom_site_type_symbol
_atom_site_fract_x
_atom_site_fract_y
_atom_site_fract_z
_atom_site_occupancy
Zn1 Zn 0.0000 0.0000 0.0000 1
H1 H 0.0000 0.0000 0.5000 1
Pt1 Pt 0.0000 0.0000 0.2303 1
# V	12.08	Å³ per atom
# energy above the most stable polymorph in this dataset	58	meV/atom



Entry 2:
# ZrZn2HPt, optimized geometry, DFT PBE
data_ZrZn2HPt
_chemical_formula_sum 'Zr1 Zn2 H1 Pt1'
_symmetry_space_group_name_H-M 'P 4/m m m'
_symmetry_Int_Tables_number 123
_symmetry_space_group_name_Hall '-P 4 2'
_cell_length_a 4.093
_cell_length_b 4.093
_cell_length_c 4.134
_cell_angle_alpha 90.00
_cell_angle_beta 90.00
_cell_angle_gamma 90.00
loop_
_atom_site_label
_atom_site_type_symbol
_atom_site_fract_x
_atom_site_fract_y
_atom_site_fract_z
_atom_site_occupancy
Zr1 Zr 0.000 0.000 0.000 1
Zn1 Zn 0.000 0.500 0.500 1
H1 H 0.000 0.000 0.500 1
Pt1 Pt 0.500 0.500 0.000 1
# V	13.85	Å³ per atom



Entry 3:
# ZrHPt3, optimized geometry, DFT PBE
data_ZrHPt3
_chemical_formula_sum 'Zr1 H1 Pt3'
_symmetry_space_group_name_H-M 'P m -3 m'
_symmetry_Int_Tables_number 221
_symmetry_space_group_name_Hall '-P 4 2 3'
_cell_length_a 4.125
_cell_length_b 4.125
_cell_length_c 4.125
_cell_angle_alpha 90.00
_cell_angle_beta 90.00
_cell_angle_gamma 90.00
loop_
_atom_site_label
_atom_site_type_symbol
_atom_site_fract_x
_atom_site_fract_y
_atom_site_fract_z
_atom_site_occupancy
Zr1 Zr 0.000 0.000 0.000 1
H1 H 0.500 0.500 0.500 1
Pt1 Pt 0.000 0.500 0.500 1
# V	14.04	Å³ per atom
# energy above the most stable polymorph in this dataset	0	meV/atom



Entry 4:
# Zr2HPt, optimized geometry, DFT PBE
data_Zr2HPt
_chemical_formula_sum 'Zr6 H3 Pt3'
_symmetry_space_group_name_H-M 'R -3 m'
_symmetry_Int_Tables_number 166
_symmetry_space_group_name_Hall '-R 3 2"'
_cell_length_a 3.0973
_cell_length_b 3.0973
_cell_length_c 22.1875
_cell_angle_alpha 90.00
_cell_angle_beta 90.00
_cell_angle_gamma 120.00
loop_
_atom_site_label
_atom_site_type_symbol
_atom_site_fract_x
_atom_site_fract_y
_atom_site_fract_z
_atom_site_occupancy
Zr1 Zr 0.0000 0.0000 0.2301 1
H1 H 0.0000 0.0000 0.5000 1
Pt1 Pt 0.0000 0.0000 0.0000 1
# V	15.36	Å³ per atom
# energy above the most stable polymorph in this dataset	158	meV/atom



Entry 5:
# Zr2HPt, optimized geometry, DFT PBE
data_Zr2HPt
_chemical_formula_sum 'Zr8 H4 Pt4'
_symmetry_space_group_name_H-M 'F m -3 m'
_symmetry_Int_Tables_number 225
_symmetry_space_group_name_Hall '-F 4 2 3'
_cell_length_a 6.476
_cell_length_b 6.476
_cell_length_c 6.476
_cell_angle_alpha 90.00
_cell_angle_beta 90.00
_cell_angle_gamma 90.00
loop_
_atom_site_label
_atom_site_type_symbol
_atom_site_fract_x
_atom_site_fract_y
_atom_site_fract_z
_atom_site_occupancy
Zr1 Zr 0.250 0.250 0.250 1
H1 H 0.000 0.000 0.000 1
Pt1 Pt 0.000 0.000 0.500 1
# V	16.97	Å³ per atom
# energy above the most stable polymorph in this dataset	259	meV/atom



Entry 6:
# Zr3HPt, optimized geometry, DFT PBE
data_Zr3HPt
_chemical_formula_sum 'Zr12 H4 Pt4'
_symmetry_space_group_name_H-M 'C m m m'
_symmetry_Int_Tables_number 65
_symmetry_space_group_name_Hall '-C 2 2'
_cell_length_a 8.873
_cell_length_b 12.027
_cell_length_c 3.264
_cell_angle_alpha 90.00
_cell_angle_beta 90.00
_cell_angle_gamma 90.00
loop_
_atom_site_label
_atom_site_type_symbol
_atom_site_fract_x
_atom_site_fract_y
_atom_site_fract_z
_atom_site_occupancy
Zr1 Zr 0.000 0.193 0.000 1
Zr2 Zr 0.207 0.376 0.500 1
H1 H 0.250 0.250 0.000 1
Pt1 Pt 0.000 0.000 0.500 1
Pt2 Pt 0.000 0.500 0.000 1
# V	17.41	Å³ per atom
# energy above the most stable polymorph in this dataset	72	meV/atom



Computed values of total magnetization (unit: μB per formula unit) for the preceding records, in sequence: 0.00; 0.00; 0.00; 0.00; 0.00; 0.00.
Computed values of total energy (unit: eV per atom) for the preceding records, in sequence: -4.3290; -4.4536; -6.5282; -7.0295; -6.9288; -7.4167.
Computed values of Fermi-level density of states (unit: states/eV/atom) for the preceding records, in sequence: 0.441; 0.498; 3.432; 0.998; 1.005; 0.999.